Computed, not measured: crystalline Ca3CeBi2S at its relaxed geometry at the GGA-PBE level of DFT.

Results
crystal system	orthorhombic
raw formation energy	-1030	meV/atom

Unit cell a=5.3605 b=5.2071 c=9.0976 alpha=106.63 beta=107.13 gamma=90.00
Each line ends with the local moment (μB).
Sites, in units of the cell vectors:
Ca 0.0000 0.5000 0.0000  0.02
Ca 0.1724 0.1724 0.3448  0.03
Ca 0.8276 0.8276 0.6552  0.03
Ce 0.5000 0.0000 0.0000  1.04
Bi 0.6352 0.6352 0.2705  -0.02
Bi 0.3648 0.3648 0.7295  -0.02
S 0.0000 0.0000 0.0000  -0.03